Here is a relaxed Mg2CdIn crystal from Alexandria. Energies are from GGA-PBE.

Structure (POSCAR):
```
Mg2CdIn
1.0
5.154 0.049 0.094
4.130 3.084 0.094
1.134 0.383 5.939
Mg Cd In
2 1 1
Cartesian
1.134 0.383 5.898
5.209 1.758 3.105
7.814 2.636 4.596
2.605 0.879 1.532
```

Output
Calculated formation energy (meV/atom): -67
Raw total energy (eV/cell): -7.11
Symmetry: C2/m, No. 12